First-principles (PBE-GGA) data for TlVCdMo2 after structural relaxation, as listed in Alexandria.

Results
E   -5.59 eV per atom

a = 4.5740 Å, b = 5.2048 Å, c = 4.5740 Å
α = 90.00°, β = 90.00°, γ = 90.00°
With the nearest neighbours (Å) after each atom.
Element x y z (fractional)
1 Tl 0.5000 0.5000 0.5000  4 Cd 3.23, 8 Mo 3.46
2 Mo 0.0000 0.0000 0.5000  2 V 2.29
3 Cd 0.0000 0.5000 0.0000  2 V 2.60
4 Mo 0.5000 0.0000 0.0000  2 V 2.29
5 V 0.0000 0.0000 0.0000  4 Mo 2.29

---

First-principles (PBE-GGA) data for Ca5Pb5Au2 after structural relaxation, as listed in Alexandria.

Results
E   -3.45 eV per atom

a = 4.8621 Å, b = 8.8548 Å, c = 8.8367 Å
α = 97.02°, β = 74.03°, γ = 74.06°
With the nearest neighbours (Å) after each atom.
Element x y z (fractional)
1 Ca 0.2973 0.3339 0.0715  3 Au 3.11-3.31
2 Pb 0.6986 0.2529 0.3498  1 Au 2.92, 2 Ca 3.24
3 Pb 0.0000 0.0000 0.0000  4 Pb 3.28-3.29
4 Pb 0.9968 0.2515 0.7548  2 Au 2.91, 2 Ca 3.20
5 Ca 0.0000 0.5000 0.5000  6 Pb 3.29-3.33, 4 Au 3.30, 2 Ca 3.61
6 Pb 0.0032 0.7485 0.2452  2 Au 2.91, 2 Ca 3.20
7 Au 0.5878 0.5648 0.2596  3 Pb 2.91-2.92, 1 Ca 3.11
8 Pb 0.3014 0.7471 0.6502  1 Au 2.92, 2 Ca 3.24
9 Au 0.4122 0.4352 0.7404  3 Pb 2.91-2.92, 1 Ca 3.11
10 Ca 0.3364 0.9972 0.3299  4 Pb 3.20-3.24
11 Ca 0.6636 0.0028 0.6701  4 Pb 3.20-3.24
12 Ca 0.7027 0.6661 0.9285  3 Au 3.11-3.31

---

First-principles (PBE-GGA) data for Li4Nd2Cl9 after structural relaxation, as listed in Alexandria.

Results
Raw formation energy   -1.93 eV/atom

a = 6.7513 Å, b = 6.7500 Å, c = 18.0902 Å
α = 90.00°, β = 90.00°, γ = 59.99°
With the nearest neighbours (Å) after each atom.
Element x y z (fractional)
1 Nd 0.0003 0.9998 0.8466  6 Cl 2.77-2.86
2 Cl 0.3734 0.9784 0.9177  3 Li 2.58-2.68, 1 Nd 2.77
3 Li 0.3339 0.3333 0.6690  6 Cl 2.58-2.68
4 Cl 0.6643 0.3356 0.2500  2 Li 2.68, 2 Nd 2.86
5 Cl 0.3514 0.6270 0.0823  3 Li 2.58-2.68, 1 Nd 2.77
6 Cl 0.3357 0.6644 0.7500  2 Li 2.68, 2 Nd 2.86
7 Nd 0.9996 0.0001 0.3466  6 Cl 2.77-2.86
8 Cl 0.9787 0.6483 0.9177  3 Li 2.58-2.68, 1 Nd 2.77
9 Li 0.6661 0.6667 0.3310  6 Cl 2.58-2.68
10 Li 0.3334 0.3333 0.9865  6 Cl 2.59-2.68
11 Cl 0.3727 0.6486 0.4178  3 Li 2.58-2.68, 1 Nd 2.77
12 Cl 0.6480 0.9786 0.4177  3 Li 2.58-2.68, 1 Nd 2.77
13 Li 0.6668 0.6666 0.5135  6 Cl 2.59-2.68
14 Cl 0.3349 0.0001 0.2500  2 Li 2.68, 2 Nd 2.86
15 Cl 0.3520 0.0214 0.5823  3 Li 2.58-2.68, 1 Nd 2.77
16 Cl 0.6273 0.3514 0.5822  3 Li 2.58-2.68, 1 Nd 2.77
17 Cl 0.0002 0.3352 0.7500  2 Li 2.68, 2 Nd 2.86
18 Li 0.3332 0.3334 0.4865  6 Cl 2.59-2.68
19 Li 0.6666 0.6667 0.0135  6 Cl 2.59-2.68
20 Cl 0.6266 0.0216 0.0823  3 Li 2.58-2.68, 1 Nd 2.77
21 Li 0.3329 0.3336 0.1691  6 Cl 2.58-2.68
22 Li 0.6671 0.6664 0.8309  6 Cl 2.58-2.68
23 Nd 0.0004 0.9999 0.6534  6 Cl 2.77-2.86
24 Cl 0.6651 0.9999 0.7500  2 Li 2.68, 2 Nd 2.86
25 Nd 0.9997 0.0002 0.1534  6 Cl 2.77-2.86
26 Cl 0.0213 0.3517 0.0823  3 Li 2.58-2.68, 1 Nd 2.77
27 Cl 0.0218 0.6268 0.5823  3 Li 2.58-2.68, 1 Nd 2.77
28 Cl 0.9782 0.3732 0.4177  3 Li 2.58-2.68, 1 Nd 2.77
29 Cl 0.9998 0.6648 0.2500  2 Li 2.68, 2 Nd 2.86
30 Cl 0.6486 0.3730 0.9177  3 Li 2.58-2.68, 1 Nd 2.77